Density functional theory data (PBE) for an optimized crystal structure of RbCd3Pt.

a b c (Å): 7.5585 7.5585 17.4214
angles (deg): 90.00 90.00 120.00
Space group R-3m (No. 166, hexagonal axes)
Symmetry-distinct sites (fractional):
1 Rb 0.0000 0.0000 0.0980
2 Cd 0.0570 0.5285 0.0895
3 Pt 0.0000 0.0000 0.2996

Results
Energy above the most stable polymorph in this dataset   108.2 meV/atom
Energy of formation   -0.142 eV/atom

Density functional theory data (PBE) for an optimized crystal structure of CaCd2Re.

a b c (Å): 3.068 5.193 11.003
angles (deg): 90.00 90.00 90.00
Space group Immm (No. 71)
Symmetry-distinct sites (fractional):
1 Ca 0.000 0.000 0.000
2 Cd 0.000 0.500 0.215
3 Re 0.000 0.000 0.500

Results
Energy above the most stable polymorph in this dataset   84.4 meV/atom
Energy of formation   0.494 eV/atom

Density functional theory data (PBE) for an optimized crystal structure of Ba2MgSe2I2.

a b c (Å): 5.255 5.255 17.991
angles (deg): 90.00 90.00 90.00
Space group I4/mmm (No. 139)
Symmetry-distinct sites (fractional):
1 Ba 0.000 0.000 0.116
2 Mg 0.000 0.000 0.500
3 Se 0.000 0.500 0.000
4 I 0.000 0.000 0.318

Results
ΔE_f (raw)   -1.6869 eV per atom

| no. | spin magnetization (μB per cell) | uncorrected energy (eV per cell) |
| --- | --- | --- |
| 1 | 0.0 | -62.79 |
| 2 | 0.0 | -28.61 |
| 3 | 0.0 | -54.64 |